The following is a DFT calculation (meta-GGA SCAN) of a PBEsol-optimized structure of K3MgS.

It has space group Pm-3m (No. 221), with a = 6.0616 Å, b = 6.0616 Å, c = 6.0616 Å, α = 90.00°, β = 90.00° and γ = 90.00°. The inequivalent atoms are K at (0.0000, 0.0000, 0.5000), Mg at (0.5000, 0.5000, 0.5000) and S at (0.0000, 0.0000, 0.0000).

As for the total magnetic moment: 0.73 μB per formula unit. The energy comes out at -41.99 eV/cell.